No. 1
Rb4CuHg2 (PBE, relaxed); symmetry = I4/mmm (139); DFT total energy = -1.146 eV/atom; crystal system = tetragonal
1.0
-4.790 4.047 -2.535
-4.774 -4.157 2.385
4.611 4.609 7.671
Rb Hg Cu
4 2 1
Direct
0.500 0.000 0.000
0.196 0.196 0.393
0.000 0.500 0.000
0.804 0.804 0.607
0.407 0.407 0.815
0.593 0.593 0.185
0.000 0.000 0.000


No. 2
SiNi (PBE, relaxed); symmetry = Pnma (62); uncorrected formation energy = -0.27 eV per atom; crystal system = orthorhombic
1.0
-3.878 2.329 -7.533
-3.586 0.066 1.866
0.870 6.151 1.454
Ni Si
8 8
Direct
0.172 0.250 0.830
0.995 0.250 0.135
0.005 0.750 0.865
0.828 0.750 0.170
0.328 0.750 0.330
0.495 0.250 0.365
0.672 0.250 0.670
0.505 0.750 0.635
0.411 0.250 0.731
0.727 0.750 0.841
0.273 0.250 0.159
0.911 0.250 0.769
0.589 0.750 0.269
0.227 0.750 0.659
0.089 0.750 0.231
0.773 0.250 0.341


| no. | calculated volume (Å³ per atom) |
| --- | --- |
| 1 | 57.899 |
| 2 | 14.168 |